(1)
Below is PtC3 at its PBEsol-relaxed geometry, with properties calculated at the SCAN level.

Cell: 4.0007 4.0007 4.0007 Å, 90.00 90.00 90.00°
Last column: nearest neighbours and their distance in Å.
Space group Pm-3m (No. 221)
Inequivalent atoms, fractional coordinates:
Pt1 0.0000 0.0000 0.0000 (multiplicity 1)  6 C 2.00
C1 0.0000 0.0000 0.5000 (multiplicity 3)  2 Pt 2.00



(2)
Below is PtC3 at its PBEsol-relaxed geometry, with properties calculated at the SCAN level.

Cell: 2.4531 6.5401 5.5690 Å, 90.00 90.00 90.00°
Last column: nearest neighbours and their distance in Å.
Space group Cmmm (No. 65)
Inequivalent atoms, fractional coordinates:
Pt1 0.0000 0.0000 0.0000 (multiplicity 2)  4 C 2.15
C1 0.0000 0.0000 0.5000 (multiplicity 2)  4 C 1.60
C2 0.0000 0.5000 0.3164 (multiplicity 4)  2 C 1.60



(2) takes first place; second place is 100.4 kJ/mol of atoms up.



(1)
Below is Ru2PtC2 at its PBEsol-relaxed geometry, with properties calculated at the SCAN level.

Cell: 3.2735 3.2735 10.5061 Å, 90.00 90.00 90.00°
Last column: nearest neighbours and their distance in Å.
Space group I4/mmm (No. 139)
Inequivalent atoms, fractional coordinates:
Ru1 0.0000 0.0000 0.1355 (multiplicity 4)  4 C 2.03
Pt1 0.0000 0.0000 0.5000 (multiplicity 2)  8 Ru 2.72
C1 0.0000 0.5000 0.2500 (multiplicity 4)  4 Ru 2.03



(2)
Below is Ru2PtC2 at its PBEsol-relaxed geometry, with properties calculated at the SCAN level.

Cell: 3.7628 3.7628 7.5513 Å, 90.00 90.00 90.00°
Last column: nearest neighbours and their distance in Å.
Space group I4/mmm (No. 139)
Inequivalent atoms, fractional coordinates:
Ru1 0.0000 0.5000 0.2500 (multiplicity 4)  4 C 2.19
Pt1 0.0000 0.0000 0.0000 (multiplicity 2)  8 Ru 2.67, 8 C 2.77
C1 0.0000 0.0000 0.3976 (multiplicity 4)  1 C 1.55



(2) takes first place; second place is 16.7 kJ/mol of atoms up.



(1)
Below is Zn3PtC at its PBEsol-relaxed geometry, with properties calculated at the SCAN level.

Cell: 4.0294 4.0294 4.0294 Å, 90.00 90.00 90.00°
Last column: nearest neighbours and their distance in Å.
Space group Pm-3m (No. 221)
Inequivalent atoms, fractional coordinates:
Zn1 0.0000 0.0000 0.5000 (multiplicity 3)  2 C 2.01
Pt1 0.5000 0.5000 0.5000 (multiplicity 1)  12 Zn 2.85
C1 0.0000 0.0000 0.0000 (multiplicity 1)  6 Zn 2.01



(2)
Below is Zn3PtC at its PBEsol-relaxed geometry, with properties calculated at the SCAN level.

Cell: 4.7393 4.7393 4.7393 Å, 90.00 90.00 90.00°
Last column: nearest neighbours and their distance in Å.
Space group Pm-3m (No. 221)
Inequivalent atoms, fractional coordinates:
Zn1 0.0000 0.0000 0.5000 (multiplicity 3)  2 Pt 2.37
Pt1 0.0000 0.0000 0.0000 (multiplicity 1)  6 Zn 2.37
C1 0.5000 0.5000 0.5000 (multiplicity 1)  12 Zn 3.35



(1) takes first place; second place is 88.4 kJ/mol of atoms up.



(1)
Below is RbC at its PBEsol-relaxed geometry, with properties calculated at the SCAN level.

Cell: 6.1633 6.1633 6.1633 Å, 90.00 90.00 90.00°
Last column: nearest neighbours and their distance in Å.
Space group Pm-3m (No. 221)
Inequivalent atoms, fractional coordinates:
Rb1 0.0000 0.0000 0.5000 (multiplicity 3)  4 C 3.08
C1 0.0000 0.5000 0.5000 (multiplicity 3)  4 Rb 3.08



(2)
Below is RbC at its PBEsol-relaxed geometry, with properties calculated at the SCAN level.

Cell: 17.4236 4.0732 6.0547 Å, 90.00 109.97 90.00°
Last column: nearest neighbours and their distance in Å.
Space group Cm (No. 8)
Inequivalent atoms, fractional coordinates:
Rb1 0.0000 0.0000 0.0000 (multiplicity 2)  6 C 3.20-3.34, 1 Rb 3.43
Rb2 0.1096 0.0000 0.6246 (multiplicity 2)  6 C 3.09-3.22, 1 Rb 3.43
Rb3 0.3374 0.5000 0.3320 (multiplicity 2)  5 C 2.96-3.08
C1 0.1575 0.5000 0.0549 (multiplicity 2)  5 Rb 3.01-3.34
C2 0.4612 0.0000 0.5690 (multiplicity 2)  1 C 1.27
C3 0.4741 0.0000 0.3751 (multiplicity 2)  1 C 1.27



(3)
Below is RbC at its PBEsol-relaxed geometry, with properties calculated at the SCAN level.

Cell: 5.0727 5.0727 39.6376 Å, 90.00 90.00 120.00°
Last column: nearest neighbours and their distance in Å.
Space group R-3m (No. 166, hexagonal axes)
Inequivalent atoms, fractional coordinates:
Rb1 0.0000 0.0000 0.0849 (multiplicity 6)  3 C 2.93
C1 0.0000 0.0000 0.4182 (multiplicity 6)  3 Rb 2.93



(2) takes first place; second place is 131.0 kJ/mol of atoms up.



(1)
Below is Rb2C at its PBEsol-relaxed geometry, with properties calculated at the SCAN level.

Cell: 4.5102 4.5102 6.0843 Å, 90.00 90.00 90.00°
Last column: nearest neighbours and their distance in Å.
Space group P4/mmm (No. 123)
Inequivalent atoms, fractional coordinates:
Rb1 0.0000 0.0000 0.0000 (multiplicity 1)  2 C 3.04
Rb2 0.5000 0.5000 0.5000 (multiplicity 1)  4 C 3.19
C1 0.0000 0.0000 0.5000 (multiplicity 1)  6 Rb 3.04-3.19



(2)
Below is Rb2C at its PBEsol-relaxed geometry, with properties calculated at the SCAN level.

Cell: 6.5511 15.4229 4.3593 Å, 90.00 90.00 90.00°
Last column: nearest neighbours and their distance in Å.
Space group Cmmm (No. 65)
Inequivalent atoms, fractional coordinates:
Rb1 0.0000 0.0000 0.0000 (multiplicity 2)  4 C 3.90, 10 Rb 3.93-4.36
Rb2 0.0000 0.2321 0.5000 (multiplicity 4)  2 C 2.96
Rb3 0.0000 0.5000 0.5000 (multiplicity 2)  4 C 3.04
C1 0.0000 0.3623 0.0000 (multiplicity 4)  4 Rb 2.96-3.04



(1) takes first place; second place is 12.2 kJ/mol of atoms up.



(1)
Below is RbSn2C2 at its PBEsol-relaxed geometry, with properties calculated at the SCAN level.

Cell: 4.4427 4.4427 12.3701 Å, 90.00 90.00 90.00°
Last column: nearest neighbours and their distance in Å.
Space group I4/mmm (No. 139)
Inequivalent atoms, fractional coordinates:
Rb1 0.0000 0.0000 0.0000 (multiplicity 2)  10 C 3.63-4.05, 8 Sn 3.81
Sn1 0.0000 0.5000 0.2500 (multiplicity 4)  4 C 2.28
C1 0.0000 0.0000 0.2931 (multiplicity 4)  4 Sn 2.28



(2)
Below is RbSn2C2 at its PBEsol-relaxed geometry, with properties calculated at the SCAN level.

Cell: 4.2980 4.2980 9.9276 Å, 90.00 90.00 90.00°
Last column: nearest neighbours and their distance in Å.
Space group I4/mmm (No. 139)
Inequivalent atoms, fractional coordinates:
Rb1 0.0000 0.0000 0.0000 (multiplicity 2)  8 C 3.28, 10 Sn 3.36-3.44
Sn1 0.0000 0.0000 0.3381 (multiplicity 4)  4 C 2.32
C1 0.0000 0.5000 0.2500 (multiplicity 4)  4 Sn 2.32



(2) takes first place; second place is 13.1 kJ/mol of atoms up.